{
  "formula": "Nd3HoEr2NiTe2",
  "functional": "PBE-GGA",
  "state": "relaxed",
  "mass_density_g_cm3": 8.31,
  "spacegroup": "Amm2, No. 38",
  "e_tot_ev_per_atom": -5.176,
  "lattice_angstrom": [[4.013, 0.000, 0.000], [0.000, 7.336, 4.229], [0.000, -7.336, 4.229]],
  "species": ["Nd", "Nd", "Nd", "Ho", "Er", "Er", "Ni", "Te", "Te"],
  "fractional_positions": [[0.000, 0.000, 0.000], [0.000, 0.190, 0.595], [0.000, 0.595, 0.190], [0.500, 0.360, 0.360], [0.500, 0.595, 0.830], [0.500, 0.830, 0.595], [0.000, 0.597, 0.597], [0.500, 0.262, 0.928], [0.500, 0.928, 0.262]]
}


{
  "formula": "Dy3CdNi8",
  "functional": "PBE-GGA",
  "state": "relaxed",
  "mass_density_g_cm3": 9.96,
  "ef_kj_per_mol_fu": -481,
  "spacegroup": "R3m, No. 160",
  "e_tot_ev_per_atom": -5.352,
  "lattice_angstrom": [[2.503, 1.445, 8.215], [-2.503, 1.445, 8.215], [0.000, -2.890, 8.215]],
  "species": ["Dy", "Dy", "Dy", "Cd", "Ni", "Ni", "Ni", "Ni", "Ni", "Ni", "Ni", "Ni"],
  "fractional_positions": [[0.000, 0.000, 0.000], [0.128, 0.128, 0.128], [0.511, 0.511, 0.511], [0.632, 0.632, 0.632], [0.067, 0.568, 0.568], [0.069, 0.069, 0.564], [0.069, 0.564, 0.069], [0.317, 0.317, 0.317], [0.564, 0.069, 0.069], [0.568, 0.067, 0.568], [0.568, 0.568, 0.067], [0.817, 0.817, 0.817]]
}


{
  "formula": "AlTcIr",
  "functional": "PBE-GGA",
  "state": "relaxed",
  "mass_density_g_cm3": 10.33,
  "spacegroup": "F-43m, No. 216",
  "relative_energy_mev_per_atom": 0.0,
  "e_tot_ev_per_atom": -7.859,
  "lattice_angstrom": [[0.000, 2.943, 2.943], [2.943, 0.000, 2.943], [2.943, 2.943, 0.000]],
  "species": ["Al", "Tc", "Ir"],
  "fractional_positions": [[0.000, 0.000, 0.000], [0.500, 0.500, 0.500], [0.250, 0.250, 0.250]]
}